[1]
DFT (PBE-GGA) results for a relaxed Dy19Y4Ho6 crystal.

Results
space-group type	No. 197
energy of formation	0.3968	eV/atom

a = 10.7797 Å, b = 10.7797 Å, c = 10.7797 Å
α = 109.47°, β = 109.47°, γ = 109.47°
Sites, in units of the cell vectors:
Dy1 0.7380 0.7380 0.0000
Dy2 0.2620 0.2620 0.0000
Dy3 0.2620 0.0000 0.2620
Dy4 0.7380 0.0000 0.7380
Dy5 0.0000 0.2620 0.2620
Dy6 0.0000 0.7380 0.7380
Dy7 0.0000 0.0000 0.0000
Dy8 0.1986 0.9847 0.6595
Dy9 0.8014 0.4610 0.7861
Dy10 0.6749 0.0153 0.2139
Dy11 0.0153 0.2139 0.6749
Dy12 0.3251 0.5390 0.3405
Dy13 0.5390 0.3405 0.3251
Dy14 0.9847 0.6595 0.1986
Dy15 0.4610 0.7861 0.8014
Dy16 0.7861 0.8014 0.4610
Dy17 0.3405 0.3251 0.5390
Dy18 0.2139 0.6749 0.0153
Dy19 0.6595 0.1986 0.9847
Y1 0.0000 0.0000 0.3575
Y2 0.0000 0.3575 0.0000
Y3 0.3575 0.0000 0.0000
Y4 0.6425 0.6425 0.6425
Ho1 0.3726 0.8726 0.5000
Ho2 0.6274 0.1274 0.5000
Ho3 0.1274 0.5000 0.6274
Ho4 0.8726 0.5000 0.3726
Ho5 0.5000 0.6274 0.1274
Ho6 0.5000 0.3726 0.8726


[2]
DFT (PBE-GGA) results for a relaxed DyY2Ho7 crystal.

Results
space-group type	No. 12
energy of formation	0.1191	eV/atom

a = 3.4872 Å, b = 15.0874 Å, c = 15.0874 Å
α = 156.63°, β = 89.91°, γ = 89.91°
Sites, in units of the cell vectors:
Dy1 0.0000 0.0000 0.0000
Y1 0.5000 0.7925 0.2075
Y2 0.5000 0.2075 0.7925
Ho1 0.0000 0.6907 0.3093
Ho2 0.0000 0.3093 0.6907
Ho3 0.7317 0.1459 0.3450
Ho4 0.2683 0.8541 0.6550
Ho5 0.7317 0.3450 0.1459
Ho6 0.2683 0.6550 0.8541
Ho7 0.5000 0.5000 0.5000


[3]
DFT (PBE-GGA) results for a relaxed Dy12YHo3 crystal.

Results
space-group type	No. 123
energy of formation	0.0189	eV/atom

a = 5.0105 Å, b = 5.0105 Å, c = 20.0171 Å
α = 90.00°, β = 90.00°, γ = 90.00°
Sites, in units of the cell vectors:
Dy1 0.5000 0.5000 0.0000
Dy2 0.5000 0.5000 0.2505
Dy3 0.5000 0.5000 0.5000
Dy4 0.5000 0.5000 0.7495
Dy5 0.5000 0.0000 0.1258
Dy6 0.5000 0.0000 0.3753
Dy7 0.5000 0.0000 0.6247
Dy8 0.5000 0.0000 0.8742
Dy9 0.0000 0.5000 0.1258
Dy10 0.0000 0.5000 0.3753
Dy11 0.0000 0.5000 0.6247
Dy12 0.0000 0.5000 0.8742
Y1 0.0000 0.0000 0.0000
Ho1 0.0000 0.0000 0.2505
Ho2 0.0000 0.0000 0.5000
Ho3 0.0000 0.0000 0.7495


[4]
DFT (PBE-GGA) results for a relaxed Dy3Y8Ho2 crystal.

Results
space-group type	No. 12
energy of formation	0.2417	eV/atom

a = 5.6380 Å, b = 7.6284 Å, c = 10.7915 Å
α = 110.70°, β = 90.04°, γ = 90.00°
Sites, in units of the cell vectors:
Dy1 0.5000 0.0000 0.0000
Dy2 0.0000 0.2844 0.0000
Dy3 0.0000 0.7156 0.0000
Y1 0.0010 0.6699 0.3397
Y2 0.9990 0.3301 0.6603
Y3 0.9998 0.1335 0.2670
Y4 0.0002 0.8665 0.7330
Y5 0.4996 0.6037 0.7845
Y6 0.4996 0.1808 0.7845
Y7 0.5004 0.8192 0.2155
Y8 0.5004 0.3963 0.2155
Ho1 0.4988 0.2414 0.4829
Ho2 0.5012 0.7586 0.5171


[5]
DFT (PBE-GGA) results for a relaxed DyY2Ho8 crystal.

Results
space-group type	No. 12
energy of formation	0.1582	eV/atom

a = 5.8864 Å, b = 9.0637 Å, c = 9.4331 Å
α = 61.29°, β = 73.22°, γ = 53.07°
Sites, in units of the cell vectors:
Dy1 0.5000 0.0000 0.0000
Y1 0.0000 0.3101 0.3798
Y2 0.0000 0.6899 0.6202
Ho1 0.7998 0.0976 0.2476
Ho2 0.7998 0.3453 0.7524
Ho3 0.2852 0.4492 0.0000
Ho4 0.5000 0.7972 0.4055
Ho5 0.5000 0.2028 0.5945
Ho6 0.7148 0.5508 0.0000
Ho7 0.2002 0.6547 0.2476
Ho8 0.2002 0.9024 0.7524


[6]
DFT (PBE-GGA) results for a relaxed DyYHo3 crystal.

Results
space-group type	No. 63
energy of formation	0.3214	eV/atom

a = 3.5989 Å, b = 8.5051 Å, c = 11.4780 Å
α = 90.03°, β = 90.00°, γ = 102.20°
Sites, in units of the cell vectors:
Dy1 0.3183 0.1366 0.2500
Dy2 0.6817 0.8634 0.7500
Y1 0.9916 0.4821 0.2501
Y2 0.0084 0.5179 0.7499
Ho1 0.8461 0.1922 0.0001
Ho2 0.1539 0.8078 0.9999
Ho3 0.8460 0.1921 0.4999
Ho4 0.1540 0.8079 0.5001
Ho5 0.6598 0.8194 0.2500
Ho6 0.3402 0.1806 0.7500


[7]
DFT (PBE-GGA) results for a relaxed DyY2Ho crystal.

Results
space-group type	No. 160
energy of formation	0.0098	eV/atom

a = 3.5827 Å, b = 3.5827 Å, c = 11.6311 Å
α = 81.14°, β = 81.14°, γ = 60.00°
Sites, in units of the cell vectors:
Dy1 0.6664 0.6664 0.0008
Y1 0.0838 0.0838 0.7487
Y2 0.2494 0.2494 0.2517
Ho1 0.5004 0.5004 0.4988


[8]
DFT (PBE-GGA) results for a relaxed Dy6YHo crystal.

Results
space-group type	No. 2
energy of formation	0.2046	eV/atom

a = 6.7197 Å, b = 6.5402 Å, c = 6.9367 Å
α = 76.54°, β = 60.69°, γ = 89.64°
Sites, in units of the cell vectors:
Dy1 0.0943 0.7689 0.4799
Dy2 0.5717 0.7283 0.5237
Dy3 0.4283 0.2717 0.4763
Dy4 0.9057 0.2311 0.5201
Dy5 0.5488 0.7494 0.0001
Dy6 0.4512 0.2506 0.9999
Y1 0.0000 0.0000 0.0000
Ho1 0.0000 0.5000 0.0000


[9]
DFT (PBE-GGA) results for a relaxed Dy3YHo3 crystal.

Results
space-group type	No. 160
energy of formation	0.2712	eV/atom

a = 6.2759 Å, b = 6.2759 Å, c = 6.2759 Å
α = 102.13°, β = 102.13°, γ = 102.13°
Sites, in units of the cell vectors:
Dy1 0.5206 0.5206 0.1694
Dy2 0.5206 0.1694 0.5206
Dy3 0.1694 0.5206 0.5206
Y1 0.1089 0.1089 0.1089
Ho1 0.5607 0.9596 0.9596
Ho2 0.9596 0.9596 0.5607
Ho3 0.9596 0.5607 0.9596


[10]
DFT (PBE-GGA) results for a relaxed Dy12Y3Ho crystal.

Results
space-group type	No. 123
energy of formation	0.0200	eV/atom

a = 5.0176 Å, b = 5.0176 Å, c = 20.0507 Å
α = 90.00°, β = 90.00°, γ = 90.00°
Sites, in units of the cell vectors:
Dy1 0.5000 0.5000 0.0000
Dy2 0.5000 0.5000 0.2496
Dy3 0.5000 0.5000 0.5000
Dy4 0.5000 0.5000 0.7504
Dy5 0.5000 0.0000 0.1242
Dy6 0.5000 0.0000 0.3748
Dy7 0.5000 0.0000 0.6252
Dy8 0.5000 0.0000 0.8758
Dy9 0.0000 0.5000 0.1242
Dy10 0.0000 0.5000 0.3748
Dy11 0.0000 0.5000 0.6252
Dy12 0.0000 0.5000 0.8758
Y1 0.0000 0.0000 0.2497
Y2 0.0000 0.0000 0.5000
Y3 0.0000 0.0000 0.7503
Ho1 0.0000 0.0000 0.0000


[11]
DFT (PBE-GGA) results for a relaxed Dy3Y6Ho2 crystal.

Results
space-group type	No. 139
energy of formation	0.2989	eV/atom

a = 4.7144 Å, b = 4.7144 Å, c = 17.0084 Å
α = 97.97°, β = 97.97°, γ = 90.00°
Sites, in units of the cell vectors:
Dy1 0.0000 0.0000 0.0000
Dy2 0.8019 0.8019 0.6037
Dy3 0.1981 0.1981 0.3963
Y1 0.1207 0.6207 0.2414
Y2 0.6207 0.1207 0.2414
Y3 0.8793 0.3793 0.7586
Y4 0.3793 0.8793 0.7586
Y5 0.6989 0.6989 0.3978
Y6 0.3011 0.3011 0.6022
Ho1 0.4547 0.4547 0.9094
Ho2 0.5453 0.5453 0.0906


[12]
DFT (PBE-GGA) results for a relaxed Dy5YHo4 crystal.

Results
space-group type	No. 5
energy of formation	0.3102	eV/atom

a = 6.2602 Å, b = 7.8339 Å, c = 7.8440 Å
α = 80.85°, β = 66.48°, γ = 66.45°
Sites, in units of the cell vectors:
Dy1 0.8035 0.3795 0.9132
Dy2 0.1827 0.9132 0.6210
Dy3 0.7169 0.0868 0.3790
Dy4 0.0961 0.6205 0.0868
Dy5 0.6828 0.0000 0.0000
Y1 0.2236 0.0000 0.0000
Ho1 0.4027 0.3962 0.7009
Ho2 0.7987 0.7011 0.6038
Ho3 0.1037 0.2989 0.3962
Ho4 0.4997 0.6038 0.2991